An optimized crystal structure of SmHoHg4. Source: Alexandria, functional PBE-GGA.

Geometry as extended XYZ:
```
6
Lattice="-3.0490 -2.0390 -1.2211 1.1265 -2.2436 -5.1856 -0.1196 -6.3775 4.8280" Properties=species:S:1:pos:R:3 pbc="T T T"
Ho 0.0000 0.0000 0.0000
Hg -2.0833 -5.6520 2.4005
Hg 0.0146 -2.4829 -2.0099
Hg -2.0566 -8.1772 0.4312
Hg 0.0412 -5.0080 -3.9793
Sm -1.0210 -5.3300 -0.7894
```

Results
Energy relative to the lowest polymorph listed for this composition = 0.0 kJ per mole of atoms
ρ = 12.1 g/cm3
Raw total energy = -2.0939 eV per atom
Fermi-level density of states = 0.6975 states/eV per atom



An optimized crystal structure of Sm4Ho5Hg. Source: Alexandria, functional PBE-GGA.

Geometry as extended XYZ:
```
10
Lattice="-3.3484 -0.1486 1.2795 1.2350 -1.3833 3.0712 2.4611 22.2297 9.0232" Properties=species:S:1:pos:R:3 pbc="T T T"
Ho -0.8549 1.0564 2.9151
Ho 0.1738 10.3488 6.6869
Ho 0.6884 14.9962 8.5733
Ho -0.3407 5.7015 4.8005
Ho 1.2026 19.6413 10.4588
Hg 0.0000 0.0000 0.0000
Sm 0.9742 8.7990 3.5716
Sm 0.4595 4.1500 1.6845
Sm 2.0016 18.0797 7.3386
Sm 1.4869 13.4307 5.4516
```

Results
ρ = 8.7 g/cm3
Raw total energy = -4.2879 eV per atom
Fermi-level density of states = 1.2681 states/eV per atom



An optimized crystal structure of Sm5HoHg2. Source: Alexandria, functional PBE-GGA.

Geometry as extended XYZ:
```
8
Lattice="-1.4051 -0.9853 -3.2819 6.7633 -2.3597 -4.2769 -0.5509 -8.3001 0.6380" Properties=species:S:1:pos:R:3 pbc="T T T"
Sm 3.1062 -5.3299 -1.8194
Sm 5.0649 -5.8492 -4.5918
Sm 1.8441 -8.4651 -2.4275
Sm -0.2576 -5.7958 -2.3290
Sm 2.9632 -3.1799 -4.4933
Hg 3.7840 -8.9605 -5.1989
Hg 1.0233 -2.6845 -1.7218
Ho 0.0000 0.0000 0.0000
```

Results
ρ = 9.0 g/cm3
Raw total energy = -3.7434 eV per atom
Fermi-level density of states = 0.9029 states/eV per atom



An optimized crystal structure of SmHoHg3. Source: Alexandria, functional PBE-GGA.

Geometry as extended XYZ:
```
10
Lattice="6.7339 0.0000 0.0000 0.0000 7.0337 -0.0012 0.0000 -3.5160 6.0919" Properties=species:S:1:pos:R:3 pbc="T T T"
Hg 1.6835 3.5164 3.6789
Hg 5.0504 0.0013 2.4118
Hg 1.6835 2.0884 1.2064
Hg 5.0504 -1.4266 4.8851
Hg 5.0504 1.4293 4.8843
Hg 1.6835 4.9443 1.2055
Sm 1.6835 0.0028 4.0596
Sm 5.0504 3.5149 2.0311
Ho 3.3669 0.0000 0.0000
Ho 0.0000 0.0000 0.0000
```

Results
Energy relative to the lowest polymorph listed for this composition = 19.1 kJ per mole of atoms
ρ = 10.6 g/cm3
Raw total energy = -2.2555 eV per atom
Fermi-level density of states = 1.2856 states/eV per atom



An optimized crystal structure of Sm4HoHg2. Source: Alexandria, functional PBE-GGA.

Geometry as extended XYZ:
```
14
Lattice="8.3503 -0.0761 2.1355 -0.6482 9.4904 -2.9110 -2.0778 -6.9395 6.8163" Properties=species:S:1:pos:R:3 pbc="T T T"
Sm 4.1607 -3.6304 6.8723
Sm 0.7111 1.1659 5.0695
Sm 1.3391 -5.2958 5.9921
Sm 4.1922 -0.4926 4.8395
Sm 2.4748 4.9044 0.1272
Sm -0.2460 -0.8162 1.9618
Sm 3.4954 2.3495 2.5075
Sm -1.3973 5.3339 0.8806
Hg 5.0231 6.4389 0.8941
Hg 6.0486 0.3750 1.8383
Hg 1.6855 -2.0400 4.1095
Hg -1.8682 -1.1465 4.7808
Ho 0.3636 2.2931 0.3588
Ho 6.2478 2.0990 4.5874
```

Results
ρ = 9.2 g/cm3
Raw total energy = -3.6234 eV per atom
Fermi-level density of states = 1.0881 states/eV per atom



An optimized crystal structure of Sm2Ho4Hg. Source: Alexandria, functional PBE-GGA.

Geometry as extended XYZ:
```
7
Lattice="-2.9679 0.1998 2.0279 4.5212 -0.6229 6.6784 -0.2353 7.6769 -4.2963" Properties=species:S:1:pos:R:3 pbc="T T T"
Ho 1.2964 6.4936 1.2577
Ho -1.8770 5.5348 -0.0967
Ho 3.1950 1.7190 4.5067
Ho 0.0216 0.7602 3.1524
Hg 0.0000 0.0000 0.0000
Sm 0.6076 3.1191 0.5820
Sm 0.7104 4.1347 3.8280
```

Results
ρ = 8.8 g/cm3
Raw total energy = -4.0590 eV per atom
Fermi-level density of states = 1.3911 states/eV per atom



An optimized crystal structure of Sm8Ho2Hg. Source: Alexandria, functional PBE-GGA.

Geometry as extended XYZ:
```
11
Lattice="5.5782 0.0000 0.0000 0.0000 7.4831 -0.2531 -2.7891 -3.4374 8.8711" Properties=species:S:1:pos:R:3 pbc="T T T"
Ho 2.7891 0.1897 5.4029
Ho 0.0000 3.8561 3.2151
Sm 0.0000 0.1141 3.2209
Sm 0.0000 1.9796 6.3108
Sm 2.7891 2.0661 2.3073
Sm 2.7891 3.9316 5.3971
Sm 0.0000 5.5786 -0.1877
Sm 2.7891 5.5875 2.1944
Sm 0.0000 -1.5418 6.4236
Sm 2.7891 -1.5329 8.8057
Hg 2.7891 0.0000 0.0000
```

Results
ρ = 7.9 g/cm3
Raw total energy = -4.2799 eV per atom
Fermi-level density of states = 1.8368 states/eV per atom



An optimized crystal structure of SmHo4Hg4. Source: Alexandria, functional PBE-GGA.

Geometry as extended XYZ:
```
18
Lattice="5.4973 0.0000 0.0000 0.0000 9.5460 0.0000 0.0000 0.0000 9.5460" Properties=species:S:1:pos:R:3 pbc="T T T"
Hg 2.2260 1.9792 1.0025
Hg 4.9747 3.7705 6.7521
Hg 0.5226 2.7938 3.7705
Hg 3.2712 8.5435 1.9792
Hg 3.2712 1.0025 7.5668
Hg 0.5226 6.7521 5.7755
Hg 2.2260 7.5668 8.5435
Hg 4.9747 5.7755 2.7938
Ho 4.9805 3.3445 0.8571
Ho 0.5167 8.6889 3.3445
Ho 3.2654 8.1175 5.6301
Ho 3.2654 1.4285 3.9159
Ho 4.9805 6.2014 8.6889
Ho 2.2319 3.9159 8.1175
Ho 0.5167 0.8571 6.2014
Ho 2.2319 5.6301 1.4285
Sm 2.7486 4.7730 4.7730
Sm 0.0000 0.0000 0.0000
```

Results
ρ = 10.7 g/cm3
Raw total energy = -2.9443 eV per atom
Fermi-level density of states = 0.9161 states/eV per atom



An optimized crystal structure of Sm2HoHg4. Source: Alexandria, functional PBE-GGA.

Geometry as extended XYZ:
```
7
Lattice="-4.9060 2.4018 -1.2962 -2.5800 -3.2114 3.8143 4.9739 5.8364 4.1467" Properties=species:S:1:pos:R:3 pbc="T T T"
Ho 0.0000 0.0000 0.0000
Sm 0.9720 4.2890 4.2685
Sm -3.4840 0.7378 2.3962
Hg 0.4784 2.1110 2.1009
Hg -2.9905 2.9158 4.5638
Hg -2.4530 1.2009 -0.6481
Hg -1.2900 -1.6057 1.9071
```

Results
Energy relative to the lowest polymorph listed for this composition = 31.7 kJ per mole of atoms
ρ = 8.6 g/cm3
Raw total energy = -2.1913 eV per atom
Fermi-level density of states = 0.9664 states/eV per atom



An optimized crystal structure of Sm2Ho3Hg3. Source: Alexandria, functional PBE-GGA.

Geometry as extended XYZ:
```
8
Lattice="-2.8950 2.3809 0.1190 -1.0457 -1.0174 -5.0822 -4.7503 -9.0058 5.5308" Properties=species:S:1:pos:R:3 pbc="T T T"
Ho -5.1184 -6.3396 2.3223
Ho -1.4475 1.1905 0.0595
Ho -3.5725 -1.3027 -1.7547
Sm -4.5547 -2.6581 1.4693
Sm -4.1362 -4.9842 -0.9017
Hg -1.5464 -1.9153 0.7016
Hg -7.1446 -5.7270 -0.1340
Hg -0.5228 -0.5087 -2.5411
```

Results
ρ = 10.5 g/cm3
Raw total energy = -3.3595 eV per atom
Fermi-level density of states = 0.9408 states/eV per atom